Entry from Alexandria via LeMat-Bulk: an optimized crystal structure of Na2CeUS5 (PBE).

Structure (CIF):
```
data_Na2CeUS5
_space_group_name_H-M_alt 'P 4/m m m'
_space_group_IT_number 123
_space_group_name_Hall '-P 4 2'
_cell_length_a 4.9552
_cell_length_b 4.9552
_cell_length_c 10.5556
_cell_angle_alpha 90.00
_cell_angle_beta 90.00
_cell_angle_gamma 90.00
loop_
_atom_site_label
_atom_site_fract_x
_atom_site_fract_y
_atom_site_fract_z
Na1 0.0000 0.0000 0.2285
Ce1 0.5000 0.5000 0.5000
U1 0.5000 0.5000 0.0000
S1 0.0000 0.0000 0.5000
S2 0.0000 0.5000 0.0000
S3 0.5000 0.5000 0.2493
```

Summary:
Size of the total moment = 2.00 μB per cell
E_form (uncorrected) = -1.193 eV/atom
Uncorrected energy = -5.693 eV/atom